# NaZr2TiF11 (GGA-PBEsol, optimized geometry)
data_NaZr2TiF11
_chemical_formula_sum 'Na1 Zr2 Ti1 F11'
_cell_length_a 5.6955
_cell_length_b 5.6955
_cell_length_c 7.7723
_cell_angle_alpha 69.30
_cell_angle_beta 69.30
_cell_angle_gamma 73.09
_symmetry_space_group_name_H-M 'P 1'
_symmetry_Int_Tables_number 1
_symmetry_space_group_name_Hall 'P 1'
loop_
_atom_site_label
_atom_site_fract_x
_atom_site_fract_y
_atom_site_fract_z
_atom_site_occupancy
Na1 0.0000 0.0000 0.0000 1
Zr1 0.5044 0.5044 0.7657 1
Zr2 0.4956 0.4956 0.2343 1
Ti1 0.0000 0.0000 0.5000 1
F1 0.2175 0.8078 0.6890 1
F2 0.1922 0.7825 0.3110 1
F3 0.7825 0.1922 0.3110 1
F4 0.8078 0.2175 0.6890 1
F5 0.5000 0.5000 0.5000 1
F6 0.6714 0.3286 0.0000 1
F7 0.3286 0.6714 0.0000 1
F8 0.2466 0.2466 0.3578 1
F9 0.7534 0.7534 0.6422 1
F10 0.2656 0.2656 0.8905 1
F11 0.7344 0.7344 0.1095 1
# space group: C2/m (12)
# crystal system: monoclinic
# VASP energy: -6.738 eV per atom



# Mg2InRu (GGA-PBEsol, optimized geometry)
data_Mg2InRu
_chemical_formula_sum 'Mg2 In1 Ru1'
_cell_length_a 3.3798
_cell_length_b 3.3798
_cell_length_c 6.2660
_cell_angle_alpha 90.00
_cell_angle_beta 90.00
_cell_angle_gamma 90.00
_symmetry_space_group_name_H-M 'P 1'
_symmetry_Int_Tables_number 1
_symmetry_space_group_name_Hall 'P 1'
loop_
_atom_site_label
_atom_site_fract_x
_atom_site_fract_y
_atom_site_fract_z
_atom_site_occupancy
Ru1 0.0000 0.0000 0.4934 1
Mg1 0.0000 0.0000 0.0035 1
Mg2 0.5000 0.5000 0.2820 1
In1 0.5000 0.5000 0.7212 1
# space group: P4mm (99)
# calculated formation energy: -0.008 eV/atom
# crystal system: tetragonal



# K2CdAg (GGA-PBEsol, optimized geometry)
data_K2CdAg
_chemical_formula_sum 'K2 Cd1 Ag1'
_cell_length_a 3.8082
_cell_length_b 3.8082
_cell_length_c 9.8116
_cell_angle_alpha 90.00
_cell_angle_beta 90.00
_cell_angle_gamma 90.00
_symmetry_space_group_name_H-M 'P 1'
_symmetry_Int_Tables_number 1
_symmetry_space_group_name_Hall 'P 1'
loop_
_atom_site_label
_atom_site_fract_x
_atom_site_fract_y
_atom_site_fract_z
_atom_site_occupancy
K1 0.0000 0.0000 0.9218 1
K2 0.5000 0.5000 0.3290 1
Ag1 0.0000 0.0000 0.5799 1
Cd1 0.5000 0.5000 0.6693 1
# space group: P4mm (99)
# calculated formation energy: 0.065 eV/atom
# crystal system: tetragonal



# La3GaBr3 (GGA-PBEsol, optimized geometry)
data_La3GaBr3
_chemical_formula_sum 'La3 Ga1 Br3'
_cell_length_a 6.0359
_cell_length_b 6.0359
_cell_length_c 6.0359
_cell_angle_alpha 90.00
_cell_angle_beta 90.00
_cell_angle_gamma 90.00
_symmetry_space_group_name_H-M 'P 1'
_symmetry_Int_Tables_number 1
_symmetry_space_group_name_Hall 'P 1'
loop_
_atom_site_label
_atom_site_fract_x
_atom_site_fract_y
_atom_site_fract_z
_atom_site_occupancy
Br1 0.0000 0.0000 0.5000 1
Br2 0.5000 0.0000 0.0000 1
Br3 0.0000 0.5000 0.0000 1
Ga1 0.5000 0.5000 0.5000 1
La1 0.0000 0.5000 0.5000 1
La2 0.5000 0.0000 0.5000 1
La3 0.5000 0.5000 0.0000 1
# space group: Pm-3m (221)
# crystal system: cubic
# VASP energy: -4.977 eV per atom